(1)
A geometry-optimized Re2AgRh structure. Source: Alexandria, functional PBE.

Results
density = 15.474 g/cm3
volume = 125.2 Å³/cell
excess energy over the best structure of this formula in the dataset = 169 meV/atom
size of the total moment = 0.000 μB/atom

a b c (Å): 2.871 4.602 9.473
angles (deg): 90.00 90.00 90.00
Element x y z (fractional)
1 Re 0.000 0.000 0.000
2 Re 0.000 0.500 0.235
3 Re 0.500 0.000 0.235
4 Re 0.500 0.500 0.000
5 Ag 0.000 0.500 0.732
6 Ag 0.500 0.000 0.732
7 Rh 0.000 0.000 0.473
8 Rh 0.500 0.500 0.473

---

(2)
A geometry-optimized Re2AgRh2 structure. Source: Alexandria, functional PBE.

Results
density = 13.515 g/cm3
volume = 168.6 Å³/cell
excess energy over the best structure of this formula in the dataset = 264 meV/atom
size of the total moment = 0.000 μB/atom

a b c (Å): 3.628 3.628 12.807
angles (deg): 90.00 90.00 90.00
Element x y z (fractional)
1 Re 0.000 0.500 0.250
2 Re 0.000 0.500 0.750
3 Re 0.500 0.000 0.250
4 Re 0.500 0.000 0.750
5 Ag 0.000 0.000 0.000
6 Ag 0.500 0.500 0.500
7 Rh 0.000 0.000 0.398
8 Rh 0.000 0.000 0.602
9 Rh 0.500 0.500 0.102
10 Rh 0.500 0.500 0.898

---

(3)
A geometry-optimized Re2AgRh structure. Source: Alexandria, functional PBE.

Results
density = 15.662 g/cm3
volume = 61.8 Å³/cell
excess energy over the best structure of this formula in the dataset = 71 meV/atom
size of the total moment = 0.000 μB/atom

a b c (Å): 2.787 2.787 7.957
angles (deg): 90.00 90.00 90.00
Element x y z (fractional)
1 Re 0.000 0.000 0.000
2 Re 0.500 0.500 0.231
3 Ag 0.500 0.500 0.728
4 Rh 0.000 0.000 0.462

---

(4)
A geometry-optimized ReAg2Rh structure. Source: Alexandria, functional PBE.

Results
density = 13.090 g/cm3
volume = 128.1 Å³/cell
excess energy over the best structure of this formula in the dataset = 189 meV/atom
size of the total moment = 0.000 μB/atom

a b c (Å): 9.071 2.743 5.193
angles (deg): 90.00 97.55 90.00
Element x y z (fractional)
1 Re 0.000 0.000 0.000
2 Re 0.500 0.500 0.000
3 Ag 0.005 0.500 0.522
4 Ag 0.252 0.500 0.300
5 Ag 0.505 0.000 0.522
6 Ag 0.752 0.000 0.300
7 Rh 0.256 0.000 0.827
8 Rh 0.756 0.500 0.827

---

(5)
A geometry-optimized Re2AgRh2 structure. Source: Alexandria, functional PBE.

Results
density = 14.407 g/cm3
volume = 158.2 Å³/cell
excess energy over the best structure of this formula in the dataset = 70 meV/atom
size of the total moment = 0.000 μB/atom

a b c (Å): 7.649 7.649 2.703
angles (deg): 90.00 90.00 90.00
Element x y z (fractional)
1 Re 0.170 0.330 0.000
2 Re 0.330 0.830 0.000
3 Re 0.670 0.170 0.000
4 Re 0.830 0.670 0.000
5 Ag 0.000 0.000 0.500
6 Ag 0.500 0.500 0.500
7 Rh 0.124 0.624 0.500
8 Rh 0.376 0.124 0.500
9 Rh 0.624 0.876 0.500
10 Rh 0.876 0.376 0.500

---

(6)
A geometry-optimized Re2AgRh structure. Source: Alexandria, functional PBE.

Results
density = 15.874 g/cm3
volume = 61.0 Å³/cell
excess energy over the best structure of this formula in the dataset = 210 meV/atom
size of the total moment = 0.000 μB/atom

a b c (Å): 2.688 2.688 8.441
angles (deg): 90.00 90.00 90.00
Element x y z (fractional)
1 Re 0.000 0.000 0.235
2 Re 0.000 0.000 0.765
3 Ag 0.500 0.500 0.500
4 Rh 0.500 0.500 0.000